[1]
Compound: La4PrHo2Mg
Source: Alexandria
Functional: PBE-GGA
Structure: relaxed

The structure belongs to space group P4/mmm (No. 123); the cell edges are 5.932, 5.932 and 7.752 Å and the angles 90.00°, 90.00° and 90.00°. Symmetry generates all atoms from La at (0.000, 0.500, 0.244), Pr at (0.000, 0.000, 0.000), Ho at (0.000, 0.000, 0.500), Ho at (0.500, 0.500, 0.500) and Mg at (0.500, 0.500, 0.000).

The volume is 272.80 Å³/cell. The value obtained for the magnetic moment is 0.00 μB/cell. The calculation puts the density of states at the Fermi level at 10.2 states/eV per cell. Its total energy is -34.93 eV/f.u. The calculation puts the calculated formation energy at 30 kJ/mol of formula units.

=====

[2]
Compound: KFePdS2
Source: Alexandria
Functional: PBE-GGA
Structure: relaxed

The structure belongs to space group P4/mmm (No. 123); the cell edges are 5.405, 5.405 and 4.803 Å and the angles 90.00°, 90.00° and 90.00°. Symmetry generates all atoms from K at (0.000, 0.000, 0.000), Fe at (0.500, 0.500, 0.500), Pd at (0.000, 0.000, 0.500) and S at (0.000, 0.500, 0.000).

The volume is 140.31 Å³/cell. The value obtained for the magnetic moment is 5.10 μB/cell. For the energy relative to the elements, uncorrected, the calculation gives 1.59 eV per atom. The calculation puts the density of states at the Fermi level at 8.9 states/eV per cell. Its total energy is -15.07 eV/f.u.